Record 1
Here is a relaxed structure of CsTcO2 from the Alexandria database. Energies are from PBE-GGA.

abc: 6.6806 6.6806 6.6806
angles: 131.67 131.67 70.75
With the nearest neighbours (Å) after each atom.
Positions (direct):
Cs1 0.0000 0.0000 0.0000  8 O 3.28-3.42
Cs2 0.7500 0.2500 0.5000  8 O 3.28-3.42
Tc1 0.2500 0.7500 0.5000  4 O 1.93
Tc2 0.5000 0.5000 0.0000  4 O 1.93
O1 0.3595 0.6250 0.2345  2 Tc 1.93
O2 0.3750 0.6095 0.7345  2 Tc 1.93
O3 0.3905 0.1250 0.7655  2 Tc 1.93
O4 0.8750 0.6405 0.2655  2 Tc 1.93

Results
Calculated volume   163 Å³/cell

---

Record 2
Here is a relaxed structure of CsTc2O2 from the Alexandria database. Energies are from PBE-GGA.

abc: 7.1007 7.1007 7.1007
angles: 150.20 150.20 42.64
With the nearest neighbours (Å) after each atom.
Positions (direct):
Cs1 0.0000 0.0000 0.0000  8 O 3.33, 4 Cs 3.65
Tc1 0.2500 0.7500 0.5000  4 O 2.18
Tc2 0.7500 0.2500 0.5000  4 O 2.18
O1 0.3407 0.3407 0.0000  4 Tc 2.18
O2 0.6593 0.6593 0.0000  4 Tc 2.18

Results
Calculated volume   88 Å³/cell

---

| no. | E_form (uncorrected) (eV/atom) | VASP energy (eV/atom) |
| --- | --- | --- |
| 1 | -1.023 | -6.31 |
| 2 | -0.356 | -6.66 |